Rb5HgAu4, optimized geometry, DFT PBE; volume = 37.79 A^3/atom; ΔH_f (0 K) = -0.27 eV per atom
1.0
4.2270 0.0000 0.0000
0.0000 4.2270 0.0000
0.0000 0.0000 21.1482
Rb Hg Au
5 1 4
direct
0.0000 0.0000 0.0000 Rb
0.0000 0.0000 0.1945 Rb
0.0000 0.0000 0.3859 Rb
0.0000 0.0000 0.6141 Rb
0.0000 0.0000 0.8055 Rb
0.5000 0.5000 0.5000 Hg
0.5000 0.5000 0.0989 Au
0.5000 0.5000 0.2980 Au
0.5000 0.5000 0.7020 Au
0.5000 0.5000 0.9011 Au

***

RbHg6Au2, optimized geometry, DFT PBE; volume = 29.98 A^3/atom; ΔH_f (0 K) = -0.06 eV per atom; distance to the lowest polymorph of the same formula = 0.0404 eV/atom
1.0
5.9703 -5.0275 0.0000
5.9703 5.0275 0.0000
-1.4541 0.0000 4.4952
Rb Hg Au
1 6 2
direct
0.0000 0.0000 0.0000 Rb
0.0918 0.4076 0.7487 Hg
0.3100 0.6900 0.5000 Hg
0.4076 0.0918 0.7487 Hg
0.5924 0.9082 0.2513 Hg
0.6900 0.3100 0.5000 Hg
0.9082 0.5924 0.2513 Hg
0.3052 0.3052 0.2895 Au
0.6948 0.6948 0.7105 Au

***

Rb3Hg4Au, optimized geometry, DFT PBE; volume = 43.57 A^3/atom; ΔH_f (0 K) = -0.23 eV per atom
1.0
5.3939 0.0000 0.0000
0.0000 9.3882 0.0000
0.0000 0.0000 13.7656
Rb Hg Au
6 8 2
direct
0.0000 0.0000 0.0000 Rb
0.0000 0.5000 0.1683 Rb
0.0000 0.5000 0.8317 Rb
0.5000 0.0000 0.3317 Rb
0.5000 0.0000 0.6683 Rb
0.5000 0.5000 0.5000 Rb
0.0000 0.2711 0.3873 Hg
0.0000 0.2711 0.6127 Hg
0.0000 0.7289 0.3873 Hg
0.0000 0.7289 0.6127 Hg
0.5000 0.2289 0.1127 Hg
0.5000 0.2289 0.8873 Hg
0.5000 0.7711 0.1127 Hg
0.5000 0.7711 0.8873 Hg
0.0000 0.0000 0.5000 Au
0.5000 0.5000 0.0000 Au

***

Rb2HgAu2, optimized geometry, DFT PBE; volume = 37.57 A^3/atom; ΔH_f (0 K) = -0.23 eV per atom; distance to the lowest polymorph of the same formula = 0.0315 eV/atom
1.0
6.7487 0.0000 0.0000
0.0000 6.7487 0.0000
0.0000 0.0000 8.2497
Rb Hg Au
4 2 4
direct
0.0000 0.5000 0.2500 Rb
0.0000 0.5000 0.7500 Rb
0.5000 0.0000 0.2500 Rb
0.5000 0.0000 0.7500 Rb
0.0000 0.0000 0.0000 Hg
0.5000 0.5000 0.5000 Hg
0.0000 0.0000 0.3374 Au
0.0000 0.0000 0.6626 Au
0.5000 0.5000 0.1626 Au
0.5000 0.5000 0.8374 Au

***

RbHgAu2, optimized geometry, DFT PBE; volume = 31.92 A^3/atom; ΔH_f (0 K) = -0.20 eV per atom
1.0
4.9220 0.0000 0.0000
-2.4610 4.2626 0.0000
0.0000 0.0000 18.2554
Rb Hg Au
3 3 6
direct
0.0000 0.0000 0.0000 Rb
0.3333 0.6667 0.6667 Rb
0.6667 0.3333 0.3333 Rb
0.0000 0.0000 0.5000 Hg
0.3333 0.6667 0.1667 Hg
0.6667 0.3333 0.8333 Hg
0.0000 0.0000 0.1831 Au
0.0000 0.0000 0.8169 Au
0.3333 0.6667 0.4835 Au
0.3333 0.6667 0.8498 Au
0.6667 0.3333 0.1502 Au
0.6667 0.3333 0.5165 Au

***

Rb2Hg5Au3, optimized geometry, DFT PBE; volume = 30.37 A^3/atom; ΔH_f (0 K) = -0.19 eV per atom
1.0
-5.5743 7.7125 3.5323
5.5743 -7.7125 3.5323
5.5743 7.7125 -3.5323
Rb Hg Au
4 10 6
direct
0.1202 0.2429 0.3631 Rb
0.3798 0.7429 0.1226 Rb
0.6202 0.2571 0.8774 Rb
0.8798 0.7571 0.6369 Rb
0.0106 0.7500 0.2606 Hg
0.1196 0.8792 0.9988 Hg
0.2500 0.7500 0.5000 Hg
0.3804 0.3792 0.7596 Hg
0.4894 0.7500 0.7394 Hg
0.5106 0.2500 0.2606 Hg
0.6196 0.6208 0.2404 Hg
0.7500 0.2500 0.5000 Hg
0.8804 0.1208 0.0012 Hg
0.9894 0.2500 0.7394 Hg
0.1200 0.6267 0.7468 Au
0.2500 0.2500 0.0000 Au
0.3800 0.1267 0.5067 Au
0.6200 0.8733 0.4933 Au
0.7500 0.7500 0.0000 Au
0.8800 0.3733 0.2532 Au

***

Rb3Hg7Au4, optimized geometry, DFT PBE; volume = 29.13 A^3/atom; ΔH_f (0 K) = -0.20 eV per atom
1.0
9.2322 -2.5066 0.0000
9.2322 2.5066 0.0000
-6.0933 0.0000 8.8110
Rb Hg Au
3 7 4
direct
0.0000 0.0000 0.0000 Rb
0.3100 0.3100 0.3085 Rb
0.6900 0.6900 0.6915 Rb
0.0000 0.0000 0.5000 Hg
0.1603 0.1603 0.4253 Hg
0.3160 0.3160 0.9658 Hg
0.4995 0.4995 0.2825 Hg
0.5005 0.5005 0.7175 Hg
0.6840 0.6840 0.0342 Hg
0.8397 0.8397 0.5747 Hg
0.1228 0.1228 0.8408 Au
0.3426 0.3426 0.7231 Au
0.6574 0.6574 0.2769 Au
0.8772 0.8772 0.1592 Au

***

Rb4HgAu2, optimized geometry, DFT PBE; volume = 45.79 A^3/atom; ΔH_f (0 K) = -0.25 eV per atom; distance to the lowest polymorph of the same formula = 0.0000 eV/atom
1.0
2.9509 1.7037 10.6266
-2.9509 1.7037 10.6266
0.0000 -3.4075 10.6266
Rb Hg Au
4 1 2
direct
0.1175 0.1175 0.1175 Rb
0.2939 0.2939 0.2939 Rb
0.7061 0.7061 0.7061 Rb
0.8825 0.8825 0.8825 Rb
0.5000 0.5000 0.5000 Hg
0.4081 0.4081 0.4081 Au
0.5919 0.5919 0.5919 Au

***

Rb2Hg4Au3, optimized geometry, DFT PBE; volume = 28.28 A^3/atom; ΔH_f (0 K) = -0.17 eV per atom
1.0
3.2897 -8.8442 0.0000
3.2897 8.8442 0.0000
0.0000 0.0000 8.7494
Rb Hg Au
4 8 6
direct
0.1123 0.8877 0.9005 Rb
0.3877 0.6123 0.4005 Rb
0.6123 0.3877 0.5995 Rb
0.8877 0.1123 0.0995 Rb
0.1924 0.3076 0.7500 Hg
0.1945 0.8055 0.5211 Hg
0.3055 0.6945 0.0211 Hg
0.3076 0.1924 0.2500 Hg
0.6924 0.8076 0.7500 Hg
0.6945 0.3055 0.9789 Hg
0.8055 0.1945 0.4789 Hg
0.8076 0.6924 0.2500 Hg
0.0000 0.0000 0.5000 Au
0.0270 0.4730 0.7500 Au
0.4730 0.0270 0.2500 Au
0.5000 0.5000 0.0000 Au
0.5270 0.9730 0.7500 Au
0.9730 0.5270 0.2500 Au

***

Rb2Hg2Au, optimized geometry, DFT PBE; volume = 40.94 A^3/atom; ΔH_f (0 K) = -0.16 eV per atom; distance to the lowest polymorph of the same formula = 0.1005 eV/atom
1.0
6.9807 0.0000 0.0000
0.0000 6.9807 0.0000
0.0000 0.0000 8.4007
Rb Hg Au
4 4 2
direct
0.0000 0.5000 0.2500 Rb
0.0000 0.5000 0.7500 Rb
0.5000 0.0000 0.2500 Rb
0.5000 0.0000 0.7500 Rb
0.0000 0.0000 0.1702 Hg
0.0000 0.0000 0.8298 Hg
0.5000 0.5000 0.3298 Hg
0.5000 0.5000 0.6702 Hg
0.0000 0.0000 0.5000 Au
0.5000 0.5000 0.0000 Au

***

Rb2Hg2Au3, optimized geometry, DFT PBE; volume = 29.29 A^3/atom; ΔH_f (0 K) = -0.23 eV per atom; distance to the lowest polymorph of the same formula = 0.0024 eV/atom
1.0
12.2484 0.0000 0.0000
0.0000 5.0844 0.0000
-4.0723 0.0000 6.5851
Rb Hg Au
4 4 6
direct
0.1643 0.0000 0.2809 Rb
0.3357 0.5000 0.7191 Rb
0.6643 0.5000 0.2809 Rb
0.8357 0.0000 0.7191 Rb
0.1493 0.0000 0.7782 Hg
0.3507 0.5000 0.2218 Hg
0.6493 0.5000 0.7782 Hg
0.8507 0.0000 0.2218 Hg
0.0000 0.5000 0.5000 Au
0.0636 0.5000 0.8964 Au
0.4364 0.0000 0.1036 Au
0.5000 0.0000 0.5000 Au
0.5636 0.0000 0.8964 Au
0.9364 0.5000 0.1036 Au

***

Rb2HgAu3, optimized geometry, DFT PBE; volume = 33.00 A^3/atom; ΔH_f (0 K) = -0.26 eV per atom; distance to the lowest polymorph of the same formula = 0.0000 eV/atom
1.0
0.0000 4.8684 8.4544
4.8101 0.0000 8.4544
4.8101 4.8684 0.0000
Rb Hg Au
4 2 6
direct
0.2462 0.7538 0.7538 Rb
0.2500 0.2500 0.2500 Rb
0.7500 0.7500 0.7500 Rb
0.7538 0.2462 0.2462 Rb
0.3337 0.3337 0.6663 Hg
0.6663 0.6663 0.3337 Hg
0.1638 0.6728 0.3272 Au
0.1645 0.1645 0.8355 Au
0.3272 0.8362 0.1638 Au
0.6728 0.1638 0.8362 Au
0.8355 0.8355 0.1645 Au
0.8362 0.3272 0.6728 Au